(1)
## TlRe2Rh (GGA-PBE)

Data for a relaxed TlRe2Rh crystal.

Calculated values
The calculation puts the formation energy at 534.8 meV per atom. The crystal system is monoclinic. The magnetization comes out at 0.00 μB/f.u.

a = 9.630 Å, b = 2.882 Å, c = 4.794 Å
α = 90.00°, β = 100.66°, γ = 90.00°
Space group C2/m (No. 12)
Inequivalent atoms, fractional coordinates:
Tl (0.000, 0.000, 0.000)
Re (0.240, 0.000, 0.729)
Rh (0.000, 0.500, 0.500)

(2)
## Ta2TlCd (GGA-PBE)

Data for a relaxed Ta2TlCd crystal.

Calculated values
The calculation puts the formation energy at 281.6 meV per atom. The crystal system is orthorhombic. The magnetization comes out at 0.00 μB/f.u.

a = 3.451 Å, b = 5.002 Å, c = 9.678 Å
α = 90.00°, β = 90.00°, γ = 90.00°
Space group Cmm2 (No. 35)
Inequivalent atoms, fractional coordinates:
Ta (0.000, 0.000, 0.000)
Ta (0.000, 0.500, 0.218)
Tl (0.000, 0.500, 0.741)
Cd (0.000, 0.000, 0.468)

(3)
## PaMnBeOs (GGA-PBE)

Data for a relaxed PaMnBeOs crystal.

Calculated values
The calculation puts the formation energy at 91.1 meV per atom. The crystal system is cubic. The magnetization comes out at 1.90 μB/f.u.

a = 6.316 Å, b = 6.316 Å, c = 6.316 Å
α = 90.00°, β = 90.00°, γ = 90.00°
Space group F-43m (No. 216)
Inequivalent atoms, fractional coordinates:
Pa (0.000, 0.000, 0.000)
Mn (0.250, 0.250, 0.250)
Be (0.000, 0.000, 0.500)
Os (0.250, 0.250, 0.750)

(4)
## Sr6Cd2H (GGA-PBE)

Data for a relaxed Sr6Cd2H crystal.

Calculated values
For the calculated total energy, the calculation gives -1.909 eV/atom. The crystal system is monoclinic. The magnetization comes out at 0.00 μB/f.u.

a = 7.459 Å, b = 8.533 Å, c = 13.018 Å
α = 90.00°, β = 123.14°, γ = 90.00°
Space group P2_1/c (No. 14)
Inequivalent atoms, fractional coordinates:
Sr (0.123, 0.177, 0.446)
Sr (0.282, 0.688, 0.444)
Sr (0.373, 0.024, 0.255)
Cd (0.198, 0.110, 0.748)
H (0.500, 0.000, 0.500)